Re3As5: optimized geometry, PBE-GGA.

Summary:
Space group: Cmmm, No. 65
Energy of formation in eV per atom: 0.51
Uncorrected energy in eV/atom: -7.06
Crystal system: orthorhombic
Total magnetic moment in μB per formula unit: 0.000

Lattice parameters (Å, degrees): 5.581 5.581 4.324 90.00 90.00 109.97
Fractional positions:
Re1 0.000 0.000 0.000
Re2 0.237 0.763 0.500
Re3 0.763 0.237 0.500
As1 0.000 0.500 0.000
As2 0.231 0.231 0.500
As3 0.500 0.000 0.000
As4 0.500 0.500 0.000
As5 0.769 0.769 0.500

---

SrCeCd6: optimized geometry, PBE-GGA.

Summary:
Space group: Amm2, No. 38
Energy of formation in eV per atom: -0.22
Uncorrected energy in eV/atom: -1.85
Crystal system: orthorhombic
Total magnetic moment in μB per formula unit: 1.180

Lattice parameters (Å, degrees): 5.068 6.852 6.852 62.27 90.00 90.00
Fractional positions:
Sr1 0.000 0.000 0.000
Ce1 0.500 0.693 0.693
Cd1 0.000 0.032 0.488
Cd2 0.000 0.488 0.032
Cd3 0.000 0.517 0.517
Cd4 0.500 0.190 0.190
Cd5 0.500 0.214 0.643
Cd6 0.500 0.643 0.214

---

CrFe2Cu: optimized geometry, PBE-GGA.

Summary:
Space group: Cmm2, No. 35
Energy of formation in eV per atom: 0.13
Uncorrected energy in eV/atom: -7.53
Crystal system: orthorhombic
Total magnetic moment in μB per formula unit: 4.218

Lattice parameters (Å, degrees): 2.444 2.444 8.123 90.00 90.00 106.73
Fractional positions:
Cr1 0.000 0.000 0.000
Fe1 0.000 0.000 0.513
Fe2 0.500 0.500 0.757
Cu1 0.500 0.500 0.259

---

Sm8Ge3CI4: optimized geometry, PBE-GGA.

Summary:
Space group: R-3m, No. 166
Uncorrected energy in eV/atom: -5.10
Crystal system: trigonal
Total magnetic moment in μB per formula unit: 0.000

Lattice parameters (Å, degrees): 9.048 9.048 9.048 55.35 55.35 55.35
Fractional positions:
Sm1 0.233 0.233 0.233
Sm2 0.259 0.713 0.713
Sm3 0.287 0.287 0.741
Sm4 0.287 0.741 0.287
Sm5 0.713 0.259 0.713
Sm6 0.713 0.713 0.259
Sm7 0.741 0.287 0.287
Sm8 0.767 0.767 0.767
Ge1 0.000 0.000 0.500
Ge2 0.000 0.500 0.000
Ge3 0.500 0.000 0.000
C1 0.500 0.500 0.500
I1 0.000 0.000 0.000
I2 0.000 0.500 0.500
I3 0.500 0.000 0.500
I4 0.500 0.500 0.000

---

PmSm12Ni6: optimized geometry, PBE-GGA.

Summary:
Space group: Im-3, No. 204
Energy of formation in eV per atom: -0.19
Uncorrected energy in eV/atom: -5.25
Crystal system: cubic
Total magnetic moment in μB per formula unit: 0.000

Lattice parameters (Å, degrees): 8.703 8.703 8.703 109.47 109.47 109.47
Fractional positions:
Pm1 0.000 0.000 0.000
Sm1 0.127 0.312 0.815
Sm2 0.185 0.497 0.312
Sm3 0.185 0.873 0.688
Sm4 0.312 0.185 0.497
Sm5 0.312 0.815 0.127
Sm6 0.497 0.312 0.185
Sm7 0.503 0.688 0.815
Sm8 0.688 0.185 0.873
Sm9 0.688 0.815 0.503
Sm10 0.815 0.127 0.312
Sm11 0.815 0.503 0.688
Sm12 0.873 0.688 0.185
Ni1 0.122 0.500 0.622
Ni2 0.378 0.878 0.500
Ni3 0.500 0.378 0.878
Ni4 0.500 0.622 0.122
Ni5 0.622 0.122 0.500
Ni6 0.878 0.500 0.378

---

NaAu2O: optimized geometry, PBE-GGA.

Summary:
Space group: I-42d, No. 122
Uncorrected energy in eV/atom: -3.23
Crystal system: tetragonal
Total magnetic moment in μB per formula unit: 0.000

Lattice parameters (Å, degrees): 7.902 7.902 7.902 139.51 139.51 58.60
Fractional positions:
Na1 0.000 0.000 0.000
Na2 0.750 0.250 0.500
Au1 0.373 0.625 0.248
Au2 0.375 0.623 0.748
Au3 0.377 0.125 0.752
Au4 0.875 0.627 0.252
O1 0.250 0.750 0.500
O2 0.500 0.500 0.000

---

Tb2Nd3Dy6Y: optimized geometry, PBE-GGA.

Summary:
Space group: C2/m, No. 12
Energy of formation in eV per atom: 0.02
Uncorrected energy in eV/atom: -4.79
Crystal system: monoclinic
Total magnetic moment in μB per formula unit: 0.000

Lattice parameters (Å, degrees): 6.211 6.211 11.853 94.99 94.99 119.98
Fractional positions:
Tb1 0.167 0.833 0.000
Tb2 0.833 0.167 0.000
Nd1 0.000 0.000 0.500
Nd2 0.333 0.667 0.500
Nd3 0.667 0.333 0.500
Dy1 0.083 0.417 0.753
Dy2 0.249 0.249 0.247
Dy3 0.417 0.083 0.753
Dy4 0.583 0.917 0.247
Dy5 0.751 0.751 0.753
Dy6 0.917 0.583 0.247
Y1 0.500 0.500 0.000

---

WIBr3: optimized geometry, PBE-GGA.

Summary:
Space group: Cmcm, No. 63
Uncorrected energy in eV/atom: -4.14
Crystal system: orthorhombic
Total magnetic moment in μB per formula unit: 1.012

Lattice parameters (Å, degrees): 7.283 7.283 7.017 90.00 90.00 111.05
Fractional positions:
W1 0.002 0.998 0.750
W2 0.998 0.002 0.250
I1 0.224 0.776 0.750
I2 0.776 0.224 0.250
Br1 0.203 0.797 0.250
Br2 0.233 0.233 0.000
Br3 0.233 0.233 0.500
Br4 0.767 0.767 0.000
Br5 0.767 0.767 0.500
Br6 0.797 0.203 0.750